The following is a PBE calculation of a relaxed Tb15Pm4Th crystal, from the Alexandria database.

Computed properties:
**D(E_F)**: 1.33 states/eV per atom
**E_tot**: -95.5 eV/f.u.
**SG**: P4/mmm (123)

Unit cell a=5.074 b=5.074 c=25.240 alpha=90.00 beta=90.00 gamma=90.00
Sites, in units of the cell vectors:
Tb  0.500  0.500  0.200
Tb  0.000  0.500  0.701
Tb  0.500  0.500  0.400
Tb  0.500  0.500  0.600
Tb  0.500  0.000  0.500
Tb  0.500  0.500  0.800
Tb  0.000  0.500  0.299
Tb  0.500  0.000  0.701
Tb  0.000  0.500  0.500
Tb  0.500  0.000  0.902
Tb  0.500  0.500  0.000
Tb  0.500  0.000  0.098
Tb  0.000  0.500  0.902
Tb  0.000  0.500  0.098
Tb  0.500  0.000  0.299
Pm  0.000  0.000  0.801
Pm  0.000  0.000  0.199
Pm  0.000  0.000  0.600
Pm  0.000  0.000  0.400
Th  0.000  0.000  0.000

The following is a PBE calculation of a relaxed TbPm5Th4 crystal, from the Alexandria database.

Computed properties:
**D(E_F)**: 1.53 states/eV per atom
**E_tot**: -57.6 eV/f.u.
**SG**: C2/m (12)

Unit cell a=3.616 b=8.044 c=13.013 alpha=111.94 beta=82.01 gamma=77.01
Sites, in units of the cell vectors:
Th  0.401  0.799  0.399
Th  0.197  0.403  0.203
Th  0.803  0.597  0.797
Th  0.599  0.201  0.601
Pm  0.603  0.693  0.101
Pm  0.202  0.899  0.697
Pm  0.798  0.101  0.303
Pm  0.000  0.500  0.500
Pm  0.397  0.307  0.899
Tb  0.000  0.000  0.000

The following is a PBE calculation of a relaxed Tb3Pm2Th2 crystal, from the Alexandria database.

Computed properties:
**D(E_F)**: 1.33 states/eV per atom
**Distance to the lowest polymorph of the same formula**: 0.000 eV/atom
**SG**: C2/m (12)

Unit cell a=3.607 b=9.550 c=8.011 alpha=64.62 beta=102.98 gamma=79.11
Sites, in units of the cell vectors:
Tb  0.297  0.565  0.160
Tb  0.000  0.000  0.000
Tb  0.703  0.435  0.840
Th  0.143  0.288  0.574
Th  0.857  0.712  0.426
Pm  0.575  0.142  0.292
Pm  0.425  0.858  0.708

The following is a PBE calculation of a relaxed Tb4Pm4Th3 crystal, from the Alexandria database.

Computed properties:
**D(E_F)**: 1.64 states/eV per atom
**E_tot**: -59.0 eV/f.u.
**SG**: P-1 (2)

Unit cell a=3.557 b=5.723 c=18.219 alpha=99.06 beta=95.58 gamma=89.98
Sites, in units of the cell vectors:
Tb  0.819  0.818  0.637
Tb  0.181  0.182  0.363
Tb  0.455  0.455  0.910
Tb  0.545  0.545  0.090
Th  0.869  0.368  0.738
Th  0.131  0.632  0.262
Th  0.000  0.000  0.000
Pm  0.593  0.094  0.188
Pm  0.721  0.722  0.444
Pm  0.279  0.278  0.556
Pm  0.407  0.906  0.812

The following is a PBE calculation of a relaxed TbPmTh2 crystal, from the Alexandria database.

Computed properties:
**D(E_F)**: 1.64 states/eV per atom
**Distance to the lowest polymorph of the same formula**: 0.041 eV/atom
**SG**: P4/mmm (123)

Unit cell a=3.563 b=3.563 c=10.293 alpha=90.00 beta=90.00 gamma=90.00
Sites, in units of the cell vectors:
Th  0.000  0.000  0.247
Th  0.000  0.000  0.753
Tb  0.500  0.500  0.000
Pm  0.500  0.500  0.500

The following is a PBE calculation of a relaxed Tb3Pm2Th4 crystal, from the Alexandria database.

Computed properties:
**D(E_F)**: 1.60 states/eV per atom
**E_tot**: -52.5 eV/f.u.
**SG**: P-1 (2)

Unit cell a=6.213 b=6.200 c=12.905 alpha=118.45 beta=104.09 gamma=119.94
Sites, in units of the cell vectors:
Th  0.331  0.660  0.000
Th  0.106  0.214  0.330
Th  0.669  0.340  0.000
Th  0.894  0.786  0.670
Pm  0.769  0.546  0.329
Pm  0.231  0.454  0.671
Tb  0.559  0.113  0.669
Tb  0.000  0.000  0.000
Tb  0.441  0.887  0.331

The following is a PBE calculation of a relaxed TbPmTh crystal, from the Alexandria database.

Computed properties:
**D(E_F)**: 1.65 states/eV per atom
**Distance to the lowest polymorph of the same formula**: 0.006 eV/atom
**SG**: P3m1 (156)

Unit cell a=3.598 b=3.598 c=8.807 alpha=90.00 beta=90.00 gamma=120.00
Sites, in units of the cell vectors:
Pm  0.000  0.000  0.992
Th  0.333  0.667  0.664
Tb  0.667  0.333  0.344

The following is a PBE calculation of a relaxed Tb3Pm8Th2 crystal, from the Alexandria database.

Computed properties:
**D(E_F)**: 1.58 states/eV per atom
**E_tot**: -64.4 eV/f.u.
**SG**: C2/m (12)

Unit cell a=6.163 b=11.874 c=8.852 alpha=132.12 beta=73.05 gamma=90.00
Sites, in units of the cell vectors:
Pm  0.057  0.848  0.696
Pm  0.332  0.923  0.342
Pm  0.668  0.581  0.658
Pm  0.668  0.077  0.658
Pm  0.943  0.152  0.304
Pm  0.332  0.419  0.342
Pm  0.768  0.426  0.852
Pm  0.232  0.574  0.148
Tb  0.000  0.255  0.000
Tb  0.500  0.000  0.000
Tb  0.000  0.745  0.000
Th  0.644  0.701  0.403
Th  0.356  0.299  0.597

The following is a PBE calculation of a relaxed Tb3Pm5Th2 crystal, from the Alexandria database.

Computed properties:
**D(E_F)**: 1.57 states/eV per atom
**E_tot**: -50.4 eV/f.u.
**SG**: C2/c (15)

Unit cell a=9.028 b=9.044 c=11.315 alpha=120.45 beta=120.42 gamma=74.42
Sites, in units of the cell vectors:
Pm  0.621  0.869  0.237
Pm  0.029  0.779  0.558
Pm  0.379  0.131  0.763
Pm  0.280  0.530  0.061
Pm  0.971  0.221  0.442
Pm  0.471  0.721  0.442
Pm  0.116  0.368  0.237
Pm  0.884  0.632  0.763
Pm  0.529  0.279  0.558
Pm  0.720  0.470  0.939
Tb  0.783  0.033  0.066
Tb  0.018  0.768  0.246
Tb  0.982  0.232  0.754
Tb  0.217  0.967  0.934
Tb  0.272  0.522  0.754
Tb  0.728  0.478  0.246
Th  0.237  0.987  0.245
Th  0.507  0.258  0.245
Th  0.763  0.013  0.755
Th  0.493  0.742  0.755

The following is a PBE calculation of a relaxed Tb7Pm12Th crystal, from the Alexandria database.

Computed properties:
**D(E_F)**: 1.77 states/eV per atom
**Distance to the lowest polymorph of the same formula**: 0.000 eV/atom
**SG**: R-3 (148)

Unit cell a=8.789 b=8.789 c=8.789 alpha=90.19 beta=90.19 gamma=90.19
Sites, in units of the cell vectors:
Pm  0.721  0.262  0.122
Pm  0.122  0.721  0.262
Pm  0.379  0.852  0.495
Pm  0.621  0.148  0.505
Pm  0.279  0.738  0.878
Pm  0.262  0.122  0.721
Pm  0.852  0.495  0.379
Pm  0.148  0.505  0.621
Pm  0.878  0.279  0.738
Pm  0.495  0.379  0.852
Pm  0.738  0.878  0.279
Pm  0.505  0.621  0.148
Tb  0.500  0.500  0.500
Tb  0.847  0.620  0.941
Tb  0.620  0.941  0.847
Tb  0.380  0.059  0.153
Tb  0.153  0.380  0.059
Tb  0.941  0.847  0.620
Tb  0.059  0.153  0.380
Th  0.000  0.000  0.000